No. 1
Material: Ba2CoNi
Method: DFT, PBE
State: optimized geometry

Unit cell a=5.424 b=5.424 c=5.424 alpha=60.00 beta=60.00 gamma=60.00
Sites, in units of the cell vectors:
Ba  0.250  0.250  0.250
Ba  0.750  0.750  0.750
Co  0.000  0.000  0.000
Ni  0.500  0.500  0.500

Properties
Formation enthalpy at 0 K, eV/atom: 0.5118
Calculated volume, A^3/atom: 28.21

=====

No. 2
Material: Ta3NbBr
Method: DFT, PBE
State: optimized geometry

Unit cell a=4.691 b=4.691 c=4.691 alpha=90.00 beta=90.00 gamma=90.00
Sites, in units of the cell vectors:
Ta  0.000  0.500  0.000
Ta  0.500  0.000  0.000
Ta  0.000  0.000  0.500
Br  0.000  0.000  0.000
Nb  0.500  0.500  0.500

Properties
Uncorrected formation energy, kJ/mol of formula units: 687
Calculated volume, A^3/atom: 20.65

=====

No. 3
Material: CrTc2Rh
Method: DFT, PBE
State: optimized geometry

Unit cell a=2.697 b=2.697 c=7.571 alpha=90.00 beta=90.00 gamma=90.00
Sites, in units of the cell vectors:
Tc  0.000  0.000  0.013
Tc  0.000  0.000  0.487
Rh  0.500  0.500  0.750
Cr  0.500  0.500  0.250

Properties
Formation enthalpy at 0 K, eV/atom: 0.0359
Calculated volume, A^3/atom: 13.77

=====

No. 4
Material: NiAsP2
Method: DFT, PBE
State: optimized geometry

Unit cell a=4.236 b=4.236 c=4.236 alpha=111.93 beta=111.93 gamma=104.65
Sites, in units of the cell vectors:
P  0.000  0.000  0.000
P  0.500  0.500  0.000
Ni  0.750  0.250  0.500
As  0.250  0.750  0.500

Properties
Formation enthalpy at 0 K, eV/atom: 0.4447
Calculated volume, A^3/atom: 14.55

=====

No. 5
Material: KGe2Pb2
Method: DFT, PBE
State: optimized geometry

Unit cell a=9.115 b=9.115 c=3.476 alpha=90.00 beta=90.00 gamma=90.00
Sites, in units of the cell vectors:
Ge  0.655  0.845  0.500
Ge  0.345  0.155  0.500
Ge  0.845  0.345  0.500
Ge  0.155  0.655  0.500
Pb  0.864  0.636  0.000
Pb  0.136  0.364  0.000
Pb  0.636  0.136  0.000
Pb  0.364  0.864  0.000
K  0.000  0.000  0.000
K  0.500  0.500  0.000

Properties
Formation enthalpy at 0 K, eV/atom: 0.1010
Calculated volume, A^3/atom: 28.88

=====

No. 6
Material: AcTbLuMg
Method: DFT, PBE
State: optimized geometry

Unit cell a=5.674 b=5.674 c=5.674 alpha=60.00 beta=60.00 gamma=60.00
Sites, in units of the cell vectors:
Ac  0.750  0.750  0.750
Tb  0.250  0.250  0.250
Lu  0.500  0.500  0.500
Mg  0.000  0.000  0.000

Properties
Formation enthalpy at 0 K, eV/atom: 0.0448
Calculated volume, A^3/atom: 32.30

=====

No. 7
Material: TiIn5Rh6
Method: DFT, PBE
State: optimized geometry

Unit cell a=4.395 b=6.857 c=6.965 alpha=90.00 beta=71.66 gamma=90.00
Sites, in units of the cell vectors:
Rh  0.163  0.244  0.674
Rh  0.163  0.756  0.674
Rh  0.837  0.756  0.326
Rh  0.500  0.762  0.000
Rh  0.500  0.238  0.000
Rh  0.837  0.244  0.326
Ti  0.000  0.000  0.000
In  0.666  0.000  0.669
In  0.666  0.500  0.668
In  0.334  0.000  0.331
In  0.334  0.500  0.332
In  0.000  0.500  0.000

Properties
Formation enthalpy at 0 K, eV/atom: -0.5066
Calculated volume, A^3/atom: 16.60

=====

No. 8
Material: ScAu2
Method: DFT, PBE
State: optimized geometry

Unit cell a=5.551 b=5.551 c=5.551 alpha=117.10 beta=117.10 gamma=95.10
Sites, in units of the cell vectors:
Sc  0.750  0.750  0.000
Sc  0.250  0.250  0.000
Au  0.165  0.335  0.500
Au  0.835  0.665  0.500
Au  0.665  0.165  0.830
Au  0.335  0.835  0.170

Properties
Formation enthalpy at 0 K, eV/atom: -0.4651
Calculated volume, A^3/atom: 20.95

=====

No. 9
Material: TeIrRh
Method: DFT, PBE
State: optimized geometry

Unit cell a=7.409 b=7.106 c=2.969 alpha=84.00 beta=72.52 gamma=23.49
Sites, in units of the cell vectors:
Rh  0.663  0.663  0.337
Te  0.333  0.333  0.667
Ir  0.004  0.004  0.996

Properties
Uncorrected formation energy, kJ/mol of formula units: 186
Calculated volume, A^3/atom: 17.69

=====

No. 10
Material: CdHW3
Method: DFT, PBE
State: optimized geometry

Unit cell a=4.893 b=4.893 c=4.893 alpha=90.00 beta=90.00 gamma=90.00
Sites, in units of the cell vectors:
W  0.500  0.000  0.000
W  0.000  0.500  0.000
W  0.000  0.000  0.500
H  0.500  0.500  0.500
Cd  0.000  0.000  0.000

Properties
Calculated volume, A^3/atom: 23.42
VASP energy, Ha/atom: -0.176

=====

No. 11
Material: Cs2MgZnBr6
Method: DFT, PBE
State: optimized geometry

Unit cell a=7.726 b=7.726 c=13.538 alpha=73.42 beta=73.42 gamma=60.00
Sites, in units of the cell vectors:
Br  0.858  0.387  0.369
Br  0.293  0.792  0.123
Br  0.792  0.293  0.123
Br  0.613  0.142  0.631
Br  0.208  0.208  0.877
Br  0.387  0.387  0.369
Br  0.142  0.613  0.631
Br  0.792  0.792  0.123
Br  0.613  0.613  0.631
Br  0.208  0.707  0.877
Br  0.707  0.208  0.877
Br  0.387  0.858  0.369
Cs  0.708  0.708  0.877
Cs  0.877  0.877  0.369
Cs  0.292  0.292  0.123
Cs  0.123  0.123  0.631
Mg  0.500  0.500  0.500
Mg  0.000  0.000  0.000
Zn  0.415  0.415  0.755
Zn  0.585  0.585  0.245

Properties
Uncorrected formation energy, kJ/mol of formula units: -1360
Calculated volume, A^3/atom: 33.04

=====

No. 12
Material: NbSiN3
Method: DFT, PBE
State: optimized geometry

Unit cell a=4.070 b=4.070 c=4.070 alpha=90.00 beta=90.00 gamma=90.00
Sites, in units of the cell vectors:
N  0.000  0.500  0.000
N  0.500  0.000  0.000
N  0.000  0.000  0.500
Nb  0.000  0.000  0.000
Si  0.500  0.500  0.500

Properties
Uncorrected formation energy, kJ/mol of formula units: 422
Calculated volume, A^3/atom: 13.48